Entry 1:
A relaxed structure of CdAgPt2. Source: Alexandria via LeMat-Bulk, functional PBE-GGA.

a b c (Å): 2.9037 4.0370 5.8122
angles (deg): 90.00 90.00 90.00
Last column: nearest neighbours and their distance in Å.
Element x y z (fractional)
Ag 0.5000 0.5000 0.2500  8 Pt 2.88, 2 Ag 2.90, 2 Cd 2.91
Pt 0.0000 0.0000 0.0014  4 Ag 2.88, 4 Cd 2.88, 4 Pt 2.89-2.92
Pt 0.0000 0.0000 0.4986  4 Ag 2.88, 4 Cd 2.88, 4 Pt 2.89-2.92
Cd 0.5000 0.5000 0.7500  8 Pt 2.88, 2 Cd 2.90, 2 Ag 2.91

***

Entry 2:
A relaxed structure of CdAgPt2. Source: Alexandria via LeMat-Bulk, functional PBE-GGA.

a b c (Å): 4.9943 4.9943 4.9916
angles (deg): 80.09 80.09 33.92
Last column: nearest neighbours and their distance in Å.
Element x y z (fractional)
Ag 0.4961 0.4961 0.5069  3 Cd 2.85-2.96, 7 Pt 2.86-2.93, 2 Ag 2.91
Pt 0.0045 0.0045 0.9961  5 Pt 2.80-2.96, 4 Ag 2.86-2.93, 3 Cd 2.88-2.89
Pt 0.7446 0.7446 0.7524  5 Pt 2.80-2.96, 3 Ag 2.86-2.89, 4 Cd 2.87-2.91
Cd 0.2548 0.2548 0.2447  3 Ag 2.85-2.96, 7 Pt 2.87-2.91, 2 Cd 2.91

***

For each record above, in turn, the calculated final energy values are -0.3022, -0.3010 Ry per atom.